A PBEsol-optimized structure of LaIr2Rh2. Source: Alexandria, functional SCAN.

Magnetic moment   0.00 μB/f.u.

POSCAR file:
```
LaIr2Rh2
1.0
4.105 0.000 0.000
0.000 4.105 0.000
-2.053 -2.053 5.441
Rh Ir La
2 2 1
Direct
0.250 0.750 0.500
0.750 0.250 0.500
0.608 0.608 0.216
0.392 0.392 0.784
0.000 0.000 0.000
```

***

A PBEsol-optimized structure of La3IrRh. Source: Alexandria, functional SCAN.

Magnetic moment   0.00 μB/f.u.

POSCAR file:
```
La3IrRh
1.0
5.276 0.000 0.000
0.000 5.276 0.000
0.000 0.000 5.276
La Ir Rh
3 1 1
Direct
0.500 0.000 0.000
0.000 0.000 0.500
0.000 0.500 0.000
0.500 0.500 0.500
0.000 0.000 0.000
```

***

Number 1: total DFT energy (no corrections) -50.898 eV/atom. Number 2: total DFT energy (no corrections) -46.882 eV/atom.